1.
Computed, not measured: an optimized crystal structure of RbSb2Br7 at the PBE-GGA level of DFT.

Cell: 5.631 8.499 8.499 Å, 113.91 90.00 90.00°
Positions (direct):
1 Br 0.000 0.714 0.286
2 Br 0.500 0.051 0.321
3 Br 0.000 0.286 0.714
4 Br 0.500 0.500 0.500
5 Br 0.500 0.679 0.949
6 Br 0.500 0.949 0.679
7 Br 0.500 0.321 0.051
8 Sb 0.500 0.289 0.711
9 Sb 0.500 0.711 0.289
10 Rb 0.000 0.000 0.000

Computed properties:
The calculated volume comes out at 37.18 Å³ per atom. The calculation puts the uncorrected formation energy at -7.682 eV per formula unit. For the density of states at the Fermi level, the calculation gives 0.00 states/eV/atom.

***

2.
Computed, not measured: an optimized crystal structure of Rb3SbBr7 at the PBE-GGA level of DFT.

Cell: 7.477 10.794 10.794 Å, 90.00 90.00 90.00°
Positions (direct):
1 Br 0.266 0.380 0.880
2 Br 0.734 0.880 0.620
3 Br 0.500 0.500 0.500
4 Br 0.500 0.000 0.000
5 Br 0.266 0.880 0.620
6 Br 0.000 0.823 0.323
7 Br 0.734 0.120 0.380
8 Br 0.000 0.177 0.677
9 Br 0.266 0.120 0.380
10 Br 0.734 0.380 0.880
11 Br 0.000 0.677 0.823
12 Br 0.000 0.323 0.177
13 Br 0.734 0.620 0.120
14 Br 0.266 0.620 0.120
15 Rb 0.500 0.173 0.673
16 Rb 0.500 0.673 0.827
17 Rb 0.500 0.327 0.173
18 Rb 0.000 0.500 0.500
19 Rb 0.500 0.827 0.327
20 Rb 0.000 0.000 0.000
21 Sb 0.000 0.000 0.500
22 Sb 0.000 0.500 0.000

Computed properties:
The calculated volume comes out at 39.59 Å³ per atom. The calculation puts the uncorrected formation energy at -12.797 eV per formula unit. For the density of states at the Fermi level, the calculation gives 0.88 states/eV/atom.

***

3.
Computed, not measured: an optimized crystal structure of RbSbBr3 at the PBE-GGA level of DFT.

Cell: 6.120 6.120 6.120 Å, 90.00 90.00 90.00°
Positions (direct):
1 Rb 0.000 0.000 0.000
2 Br 0.000 0.000 0.500
3 Br 0.500 0.000 0.000
4 Br 0.000 0.500 0.000
5 Sb 0.500 0.500 0.500

Computed properties:
The calculated volume comes out at 45.85 Å³ per atom. The calculation puts the relative energy among the computed polymorphs at 1071 meV/atom. The calculation puts the uncorrected formation energy at 0.414 eV per formula unit. For the density of states at the Fermi level, the calculation gives 0.91 states/eV/atom.

***

4.
Computed, not measured: an optimized crystal structure of Rb8Sb2Br at the PBE-GGA level of DFT.

Cell: 5.923 8.641 13.040 Å, 111.58 103.13 90.00°
Positions (direct):
1 Rb 0.599 0.755 0.198
2 Rb 0.319 0.601 0.639
3 Rb 0.401 0.245 0.802
4 Rb 0.957 0.718 0.914
5 Rb 0.681 0.399 0.361
6 Rb 0.043 0.282 0.086
7 Rb 0.226 0.121 0.451
8 Rb 0.774 0.879 0.549
9 Sb 0.176 0.659 0.351
10 Sb 0.824 0.341 0.649
11 Br 0.500 0.000 0.000

Computed properties:
The calculated volume comes out at 54.71 Å³ per atom. The calculation puts the uncorrected formation energy at -5.806 eV per formula unit. For the density of states at the Fermi level, the calculation gives 0.26 states/eV/atom.

***

5.
Computed, not measured: an optimized crystal structure of RbSbBr4 at the PBE-GGA level of DFT.

Cell: 5.688 8.112 10.746 Å, 90.00 105.35 90.00°
Positions (direct):
1 Br 0.916 0.261 0.832
2 Br 0.338 0.550 0.675
3 Br 0.084 0.761 0.168
4 Br 0.296 0.088 0.593
5 Br 0.704 0.588 0.407
6 Br 0.662 0.050 0.325
7 Br 0.468 0.938 0.936
8 Br 0.532 0.438 0.064
9 Rb 0.860 0.827 0.719
10 Rb 0.140 0.327 0.281
11 Sb 0.405 0.270 0.810
12 Sb 0.595 0.770 0.190

Computed properties:
The calculated volume comes out at 39.85 Å³ per atom. The calculation puts the relative energy among the computed polymorphs at 12 meV/atom. The calculation puts the uncorrected formation energy at -6.011 eV per formula unit.

***

6.
Computed, not measured: an optimized crystal structure of Rb2ScSbBr6 at the PBE-GGA level of DFT.

Cell: 7.779 7.779 8.579 Å, 63.04 63.04 90.00°
Positions (direct):
1 Br 0.702 0.702 0.596
2 Br 0.742 0.258 0.000
3 Br 0.742 0.742 0.000
4 Br 0.258 0.258 0.000
5 Br 0.258 0.742 0.000
6 Br 0.298 0.298 0.404
7 Rb 0.250 0.750 0.500
8 Rb 0.750 0.250 0.500
9 Sb 0.000 0.000 0.000
10 Sc 0.500 0.500 0.000

Computed properties:
The calculated volume comes out at 39.84 Å³ per atom. The calculation puts the uncorrected formation energy at -12.543 eV per formula unit. For the density of states at the Fermi level, the calculation gives 0.00 states/eV/atom.

***

7.
Computed, not measured: an optimized crystal structure of RbSbSe2Br at the PBE-GGA level of DFT.

Cell: 5.376 5.376 5.861 Å, 90.00 90.00 90.00°
Positions (direct):
1 Rb 0.500 0.500 0.500
2 Sb 0.000 0.000 0.000
3 Br 0.000 0.000 0.500
4 Se 0.000 0.500 0.000
5 Se 0.500 0.000 0.000

Computed properties:
The calculated volume comes out at 33.88 Å³ per atom. The calculation puts the relative energy among the computed polymorphs at 0 meV/atom. The calculation puts the uncorrected formation energy at -2.829 eV per formula unit. For the density of states at the Fermi level, the calculation gives 0.32 states/eV/atom.

***

8.
Computed, not measured: an optimized crystal structure of RbSbSe2Br at the PBE-GGA level of DFT.

Cell: 5.811 5.811 5.882 Å, 90.00 90.00 90.00°
Positions (direct):
1 Se 0.500 0.000 0.000
2 Se 0.000 0.500 0.000
3 Br 0.000 0.000 0.500
4 Sb 0.500 0.500 0.500
5 Rb 0.000 0.000 0.000

Computed properties:
The calculated volume comes out at 39.73 Å³ per atom. The calculation puts the relative energy among the computed polymorphs at 1387 meV/atom. The calculation puts the uncorrected formation energy at 4.106 eV per formula unit. For the density of states at the Fermi level, the calculation gives 1.37 states/eV/atom.